(1)
The following is a PBE calculation of crystalline BaU2Se6S2 at its relaxed geometry, from Alexandria.

Properties
space-group type	No. 2
D(E_F)	0.01	states/eV/atom
volume	30.19	Å³/atom
energy relative to the elements, uncorrected	-948	meV per atom

Unit cell a=7.0245 b=7.5932 c=8.1452 alpha=95.44 beta=114.29 gamma=116.73
Closest atoms and distances in Å follow each position.
Fractional positions:
Ba1 0.0000 0.0000 0.0000  6 Se 3.21-3.44, 2 S 3.26
U1 0.4367 0.7084 0.3436  1 S 2.42
U2 0.5633 0.2916 0.6564  1 S 2.42
Se1 0.0927 0.4468 0.9225  1 Se 2.46
Se2 0.1955 0.3333 0.3936  2 U 2.76-2.77
Se3 0.4314 0.8875 0.6543  2 U 2.77-2.78
Se4 0.5686 0.1125 0.3457  2 U 2.77-2.78
Se5 0.8045 0.6667 0.6063  2 U 2.76-2.77
Se6 0.9073 0.5532 0.0775  1 Se 2.46
S1 0.3021 0.2361 0.7938  1 U 2.42
S2 0.6979 0.7639 0.2062  1 U 2.42

***

(2)
The following is a PBE calculation of crystalline Li4HAu2 at its relaxed geometry, from Alexandria.

Properties
space-group type	No. 139
D(E_F)	0.14	states/eV/atom
volume	14.09	Å³/atom
E_tot	-2.9016	eV/atom

Unit cell a=7.1818 b=7.1818 c=7.1818 alpha=148.88 beta=148.88 gamma=44.58
Closest atoms and distances in Å follow each position.
Fractional positions:
Li1 0.0000 0.5000 0.5000  2 H 1.93
Li2 0.1539 0.1539 0.0000  1 H 2.04
Li3 0.5000 0.0000 0.5000  2 H 1.93
Li4 0.8461 0.8461 0.0000  1 H 2.04
H1 0.0000 0.0000 0.0000  6 Li 1.93-2.04
Au1 0.3509 0.3509 0.0000  9 Li 2.62-2.76
Au2 0.6491 0.6491 0.0000  9 Li 2.62-2.76

***

(3)
The following is a PBE calculation of crystalline PaReTcGe at its relaxed geometry, from Alexandria.

Properties
calculated formation energy	-0.5	kcal/mol of atoms
space-group type	No. 216
D(E_F)	1.60	states/eV/atom
volume	17.65	Å³/atom

Unit cell a=4.6392 b=4.6392 c=4.6392 alpha=60.00 beta=60.00 gamma=60.00
Closest atoms and distances in Å follow each position.
Fractional positions:
Pa1 0.0000 0.0000 0.0000  4 Tc 2.84, 4 Re 2.84
Re1 0.7500 0.7500 0.7500  4 Ge 2.84, 4 Pa 2.84
Tc1 0.2500 0.2500 0.2500  4 Ge 2.84, 4 Pa 2.84
Ge1 0.5000 0.5000 0.5000  4 Re 2.84, 4 Tc 2.84

***

Which value of D(E_F) does entry 3 give?
1.60 states/eV/atom

***

Look up the volume of the second one.
14.09 Å³/atom

***

Which formula does entry 1 have?
BaU2Se6S2

***

The lowest D(E_F) belongs to which entry?
BaU2Se6S2